Entry 1:
DFT (PBEsol) results for a relaxed RbP2RuO crystal. Values from VASP.

Summary:
Raw formation energy, eV/atom: 0.10
SG: No. 123
Final energy, eV per atom: -5.50

Geometry as Quantum ESPRESSO input:
```
&SYSTEM
  ibrav = 0, nat = 5, ntyp = 4
/
ATOMIC_SPECIES
Rb 85.47 Rb.upf
P 30.97 P.upf
Ru 101.07 Ru.upf
O 16.00 O.upf
CELL_PARAMETERS angstrom
4.933 0.000 0.000
0.000 4.933 0.000
0.000 0.000 3.748
ATOMIC_POSITIONS angstrom
Rb 0.000 0.000 0.000
P 0.000 2.466 1.874
P 2.466 0.000 1.874
Ru 2.466 2.466 1.874
O 2.466 2.466 0.000
```

Entry 2:
DFT (PBEsol) results for a relaxed La2Si3Rh crystal. Values from VASP.

Summary:
Raw formation energy, eV/atom: -0.95
SG: No. 191
Final energy, eV per atom: -6.96

Geometry as Quantum ESPRESSO input:
```
&SYSTEM
  ibrav = 0, nat = 12, ntyp = 3
/
ATOMIC_SPECIES
La 138.91 La.upf
Si 28.09 Si.upf
Rh 102.91 Rh.upf
CELL_PARAMETERS angstrom
8.244 0.000 0.000
-4.122 7.140 0.000
0.000 0.000 4.262
ATOMIC_POSITIONS angstrom
La 0.000 0.000 0.000
La -2.061 3.570 0.000
La 4.122 0.000 0.000
La 2.061 3.570 0.000
Si 0.000 2.377 2.131
Si -2.063 5.951 2.131
Si 2.059 1.189 2.131
Si 2.063 5.951 2.131
Si 6.185 1.189 2.131
Si 4.122 4.762 2.131
Rh 0.000 4.760 2.131
Rh 4.122 2.380 2.131
```

What did the first record say?
DFT (PBEsol) results for a relaxed RbP2RuO crystal. Values from VASP.

Summary:
Raw formation energy, eV/atom: 0.10
SG: No. 123
Final energy, eV per atom: -5.50

Geometry as Quantum ESPRESSO input:
```
&SYSTEM
  ibrav = 0, nat = 5, ntyp = 4
/
ATOMIC_SPECIES
Rb 85.47 Rb.upf
P 30.97 P.upf
Ru 101.07 Ru.upf
O 16.00 O.upf
CELL_PARAMETERS angstrom
4.933 0.000 0.000
0.000 4.933 0.000
0.000 0.000 3.748
ATOMIC_POSITIONS angstrom
Rb 0.000 0.000 0.000
P 0.000 2.466 1.874
P 2.466 0.000 1.874
Ru 2.466 2.466 1.874
O 2.466 2.466 0.000
```